A plane-wave DFT calculation with GGA-PBEsol was carried out for a relaxed PHIrS2 crystal.

It has space group P4/mmm (No. 123), with a = 4.727 Å, b = 4.727 Å, c = 4.432 Å, α = 90.00°, β = 90.00° and γ = 90.00°. The asymmetric unit holds P at (0.000, 0.000, 0.000), H at (0.500, 0.500, 0.000), Ir at (0.000, 0.000, 0.500) and S at (0.000, 0.500, 0.500).

As for the total energy: -4.420 eV/atom. The value obtained for the total magnetization is 0.046 μB/atom.

=====

A plane-wave DFT calculation with GGA-PBEsol was carried out for a relaxed SiPCl4 crystal.

It has space group F-43m (No. 216), with a = 7.827 Å, b = 7.827 Å, c = 7.827 Å, α = 90.00°, β = 90.00° and γ = 90.00°. The asymmetric unit holds Si at (0.000, 0.000, 0.000), P at (0.250, 0.250, 0.750) and Cl at (0.124, 0.124, 0.376).

As for the total energy: -2.193 eV/atom. The value obtained for the total magnetization is 0.001 μB/atom. Its energy relative to the elements, uncorrected is 103.12 kJ per mole of atoms.

=====

A plane-wave DFT calculation with GGA-PBEsol was carried out for a relaxed BaNiRu2 crystal.

It has space group Pmmm (No. 47), with a = 2.933 Å, b = 4.704 Å, c = 4.984 Å, α = 90.00°, β = 90.00° and γ = 90.00°. The asymmetric unit holds Ba at (0.000, 0.000, 0.000), Ni at (0.500, 0.500, 0.000), Ru at (0.000, 0.500, 0.500) and Ru at (0.500, 0.000, 0.500).

As for the total energy: -6.065 eV/atom. The energy above the most stable polymorph in this dataset comes out at 754 meV per atom. The value obtained for the total magnetization is 0.157 μB/atom. The calculation puts the formation enthalpy at 0 K at 1.098 eV/atom.

=====

A plane-wave DFT calculation with GGA-PBEsol was carried out for a relaxed HgAs2 crystal.

It has space group Cmcm (No. 63), with a = 3.635 Å, b = 13.208 Å, c = 5.497 Å, α = 90.00°, β = 90.00° and γ = 90.00°. The asymmetric unit holds Hg at (0.000, 0.168, 0.250), As at (0.000, 0.146, 0.750) and As at (0.000, 0.486, 0.250).

As for the total energy: -3.512 eV/atom. The value obtained for the total magnetization is 0.000 μB/atom. The calculation puts the formation enthalpy at 0 K at 0.081 eV/atom.

=====

A plane-wave DFT calculation with GGA-PBEsol was carried out for a relaxed Ti2AlTlCr crystal.

It has space group P4/mmm (No. 123), with a = 4.436 Å, b = 4.436 Å, c = 4.719 Å, α = 90.00°, β = 90.00° and γ = 90.00°. The asymmetric unit holds Ti at (0.000, 0.500, 0.000), Al at (0.000, 0.000, 0.500), Tl at (0.500, 0.500, 0.500) and Cr at (0.000, 0.000, 0.000).

As for the total energy: -6.272 eV/atom. The value obtained for the total magnetization is 0.000 μB/atom. The calculation puts the formation enthalpy at 0 K at 0.450 eV/atom.

=====

A plane-wave DFT calculation with GGA-PBEsol was carried out for a relaxed RbAlIr2 crystal.

It has space group I4_1/amd (No. 141, origin choice 2), with a = 4.897 Å, b = 4.897 Å, c = 17.099 Å, α = 90.00°, β = 90.00° and γ = 90.00°. The asymmetric unit holds Rb at (0.000, 0.250, 0.375), Al at (0.000, 0.250, 0.875) and Ir at (0.000, 0.000, 0.000).

As for the total energy: -5.613 eV/atom. The value obtained for the total magnetization is 0.000 μB/atom. The calculation puts the formation enthalpy at 0 K at 0.578 eV/atom.

=====

A plane-wave DFT calculation with GGA-PBEsol was carried out for a relaxed Ca3PCl3 crystal.

It has space group Pm-3m (No. 221), with a = 5.624 Å, b = 5.624 Å, c = 5.624 Å, α = 90.00°, β = 90.00° and γ = 90.00°. The asymmetric unit holds Ca at (0.000, 0.000, 0.500), P at (0.000, 0.000, 0.000) and Cl at (0.000, 0.500, 0.500).

As for the total energy: -4.621 eV/atom. The value obtained for the total magnetization is 0.000 μB/atom. Its energy relative to the elements, uncorrected is -194.82 kJ per mole of atoms.

=====

A plane-wave DFT calculation with GGA-PBEsol was carried out for a relaxed Ir2RhBr crystal.

It has space group P2/m (No. 10), with a = 2.857 Å, b = 4.716 Å, c = 4.530 Å, α = 90.00°, β = 90.90° and γ = 90.00°. The asymmetric unit holds Ir at (0.234, 0.000, 0.255), Rh at (0.000, 0.500, 0.500) and Br at (0.500, 0.500, 0.000).

As for the total energy: -6.612 eV/atom. The energy above the most stable polymorph in this dataset comes out at 240 meV per atom. The value obtained for the total magnetization is 0.000 μB/atom. Its energy relative to the elements, uncorrected is 77.33 kJ per mole of atoms.

=====

A plane-wave DFT calculation with GGA-PBEsol was carried out for a relaxed NaBi3Cl crystal.

It has space group Pm-3m (No. 221), with a = 5.431 Å, b = 5.431 Å, c = 5.431 Å, α = 90.00°, β = 90.00° and γ = 90.00°. The asymmetric unit holds Na at (0.000, 0.000, 0.000), Bi at (0.000, 0.000, 0.500) and Cl at (0.500, 0.500, 0.500).

As for the total energy: -2.682 eV/atom. The value obtained for the total magnetization is 0.000 μB/atom. Its energy relative to the elements, uncorrected is 55.04 kJ per mole of atoms.

=====

A plane-wave DFT calculation with GGA-PBEsol was carried out for a relaxed CdOsAu crystal.

It has space group I4mm (No. 107), with a = 2.788 Å, b = 2.788 Å, c = 12.668 Å, α = 90.00°, β = 90.00° and γ = 90.00°. The asymmetric unit holds Cd at (0.000, 0.000, 0.000), Os at (0.000, 0.000, 0.665) and Au at (0.000, 0.000, 0.324).

As for the total energy: -5.267 eV/atom. The value obtained for the total magnetization is 0.000 μB/atom. The calculation puts the formation enthalpy at 0 K at 0.512 eV/atom.

=====

A plane-wave DFT calculation with GGA-PBEsol was carried out for a relaxed Sc2CoMo crystal.

It has space group I-4m2 (No. 119), with a = 3.758 Å, b = 3.758 Å, c = 9.200 Å, α = 90.00°, β = 90.00° and γ = 90.00°. The asymmetric unit holds Sc at (0.000, 0.000, 0.000), Sc at (0.000, 0.500, 0.250), Co at (0.000, 0.000, 0.500) and Mo at (0.000, 0.500, 0.750).

As for the total energy: -7.975 eV/atom. The value obtained for the total magnetization is 0.001 μB/atom. The calculation puts the formation enthalpy at 0 K at 0.204 eV/atom.

=====

A plane-wave DFT calculation with GGA-PBEsol was carried out for a relaxed WBr2Cl crystal.

It has space group Pmmm (No. 47), with a = 3.079 Å, b = 4.766 Å, c = 5.407 Å, α = 90.00°, β = 90.00° and γ = 90.00°. The asymmetric unit holds W at (0.000, 0.000, 0.000), Br at (0.000, 0.500, 0.500), Br at (0.500, 0.000, 0.500) and Cl at (0.500, 0.500, 0.000).

As for the total energy: -3.734 eV/atom. The energy above the most stable polymorph in this dataset comes out at 1161 meV per atom. The value obtained for the total magnetization is 0.628 μB/atom. Its energy relative to the elements, uncorrected is 111.39 kJ per mole of atoms.

=====

A plane-wave DFT calculation with GGA-PBEsol was carried out for a relaxed NaSr4Fe10As10 crystal.

It has space group I4/m (No. 87), with a = 8.750 Å, b = 8.750 Å, c = 11.190 Å, α = 90.00°, β = 90.00° and γ = 90.00°. The asymmetric unit holds Na at (0.000, 0.000, 0.000), Sr at (0.103, 0.302, 0.500), Fe at (0.000, 0.500, 0.250), Fe at (0.100, 0.800, 0.250), As at (0.000, 0.000, 0.355) and As at (0.100, 0.299, 0.145).

As for the total energy: -6.503 eV/atom. The value obtained for the total magnetization is 0.000 μB/atom. The calculation puts the formation enthalpy at 0 K at -0.524 eV/atom.

=====

A plane-wave DFT calculation with GGA-PBEsol was carried out for a relaxed KIn2Pd2 crystal.

It has space group I4/mmm (No. 139), with a = 4.292 Å, b = 4.292 Å, c = 12.477 Å, α = 90.00°, β = 90.00° and γ = 90.00°. The asymmetric unit holds K at (0.000, 0.000, 0.000), In at (0.000, 0.000, 0.376) and Pd at (0.000, 0.500, 0.250).

As for the total energy: -4.067 eV/atom. The energy above the most stable polymorph in this dataset comes out at 80 meV per atom. The value obtained for the total magnetization is 0.000 μB/atom. The calculation puts the formation enthalpy at 0 K at -0.263 eV/atom.

=====

A plane-wave DFT calculation with GGA-PBEsol was carried out for a relaxed LiCdAg2 crystal.

It has space group Pmm2 (No. 25), with a = 2.938 Å, b = 4.030 Å, c = 5.720 Å, α = 90.00°, β = 90.00° and γ = 90.00°. The asymmetric unit holds Li at (0.000, 0.000, 0.000), Cd at (0.500, 0.500, 0.737), Ag at (0.000, 0.000, 0.481) and Ag at (0.500, 0.500, 0.230).

As for the total energy: -2.605 eV/atom. The value obtained for the total magnetization is 0.000 μB/atom. The calculation puts the formation enthalpy at 0 K at -0.158 eV/atom.

=====

A plane-wave DFT calculation with GGA-PBEsol was carried out for a relaxed Mg2SbCl crystal.

It has space group R-3m (No. 166, hexagonal axes), with a = 4.2528 Å, b = 4.2528 Å, c = 18.8900 Å, α = 90.00°, β = 90.00° and γ = 120.00°. The asymmetric unit holds Mg at (0.0000, 0.0000, 0.2388), Sb at (0.0000, 0.0000, 0.5000) and Cl at (0.0000, 0.0000, 0.0000).

As for the total energy: -3.204 eV/atom. The energy above the most stable polymorph in this dataset comes out at 79 meV per atom. The value obtained for the total magnetization is 0.000 μB/atom. Its energy relative to the elements, uncorrected is -67.93 kJ per mole of atoms.

=====

A plane-wave DFT calculation with GGA-PBEsol was carried out for a relaxed RuRh5 crystal.

It has space group Cm (No. 8), with a = 9.797 Å, b = 2.687 Å, c = 6.334 Å, α = 90.00°, β = 104.41° and γ = 90.00°. The asymmetric unit holds Ru at (0.000, 0.000, 0.000), Rh at (0.109, 0.500, 0.724), Rh at (0.164, 0.500, 0.328), Rh at (0.279, 0.000, 0.054), Rh at (0.334, 0.000, 0.670) and Rh at (0.444, 0.500, 0.388).

As for the total energy: -8.450 eV/atom. The energy above the most stable polymorph in this dataset comes out at 21 meV per atom. The value obtained for the total magnetization is 0.000 μB/atom. The calculation puts the formation enthalpy at 0 K at 0.028 eV/atom.

=====

A plane-wave DFT calculation with GGA-PBEsol was carried out for a relaxed NaLa2Cd crystal.

It has space group Fm-3m (No. 225), with a = 7.847 Å, b = 7.847 Å, c = 7.847 Å, α = 90.00°, β = 90.00° and γ = 90.00°. The asymmetric unit holds Na at (0.000, 0.000, 0.000), La at (0.250, 0.250, 0.250) and Cd at (0.000, 0.000, 0.500).

As for the total energy: -3.312 eV/atom. The value obtained for the total magnetization is 0.000 μB/atom. The calculation puts the formation enthalpy at 0 K at 0.010 eV/atom.

=====

A plane-wave DFT calculation with GGA-PBEsol was carried out for a relaxed RuPt3W crystal.

It has space group Pm-3m (No. 221), with a = 4.645 Å, b = 4.645 Å, c = 4.645 Å, α = 90.00°, β = 90.00° and γ = 90.00°. The asymmetric unit holds Ru at (0.000, 0.000, 0.000), Pt at (0.000, 0.000, 0.500) and W at (0.500, 0.500, 0.500).

As for the total energy: -6.891 eV/atom. The value obtained for the total magnetization is 0.604 μB/atom. The calculation puts the formation enthalpy at 0 K at 2.083 eV/atom.

=====

A plane-wave DFT calculation with GGA-PBEsol was carried out for a relaxed Zr2OsCl crystal.

It has space group R-3m (No. 166, hexagonal axes), with a = 3.7952 Å, b = 3.7952 Å, c = 20.2736 Å, α = 90.00°, β = 90.00° and γ = 120.00°. The asymmetric unit holds Zr at (0.0000, 0.0000, 0.2339), Os at (0.0000, 0.0000, 0.5000) and Cl at (0.0000, 0.0000, 0.0000).

As for the total energy: -8.570 eV/atom. The energy above the most stable polymorph in this dataset comes out at 0 meV per atom. The value obtained for the total magnetization is 0.000 μB/atom. Its energy relative to the elements, uncorrected is -45.30 kJ per mole of atoms.